No. 1
# TbYHg6

A geometry-optimized TbYHg6 structure (GGA-PBE, Alexandria via LeMat-Bulk).

a = 4.7008 Å, b = 4.7008 Å, c = 8.9043 Å
α = 90.00°, β = 90.00°, γ = 90.00°
Last column: nearest neighbours and their distance in Å.
Element x y z (fractional)
Hg 0.0000 0.5000 0.2500  8 Hg 3.24-3.32, 2 Tb 3.24, 2 Y 3.24
Hg 0.5000 0.5000 0.5000  8 Hg 3.24, 4 Y 3.32
Hg 0.0000 0.5000 0.7500  8 Hg 3.24-3.32, 2 Tb 3.24, 2 Y 3.24
Hg 0.5000 0.5000 0.0000  8 Hg 3.24, 4 Tb 3.32
Hg 0.5000 0.0000 0.2500  8 Hg 3.24-3.32, 2 Tb 3.24, 2 Y 3.24
Hg 0.5000 0.0000 0.7500  8 Hg 3.24-3.32, 2 Tb 3.24, 2 Y 3.24
Tb 0.0000 0.0000 0.0000  12 Hg 3.24-3.32
Y 0.0000 0.0000 0.5000  12 Hg 3.24-3.32

**Polymorph energy (0 for the lowest one)**: 31 meV/atom
**SG**: P4/mmm, No. 123
**Total magnetic moment**: 0.00 μB/f.u.

---

No. 2
# Ac8TlPd2

A geometry-optimized Ac8TlPd2 structure (GGA-PBE, Alexandria via LeMat-Bulk).

a = 6.1857 Å, b = 8.7566 Å, c = 8.7568 Å
α = 114.84°, β = 97.57°, γ = 97.57°
Last column: nearest neighbours and their distance in Å.
Element x y z (fractional)
Ac 0.4056 0.9227 0.6673  2 Pd 3.14-3.18
Ac 0.5936 0.3386 0.0834  2 Pd 3.14-3.18
Ac 0.5936 0.0834 0.3386  2 Pd 3.14-3.18
Ac 0.4056 0.6673 0.9227  2 Pd 3.14-3.18
Ac 0.1951 0.3883 0.3883  2 Pd 3.52, 1 Tl 3.53, 4 Ac 3.62-3.87
Ac 0.9996 0.2438 0.7619  2 Pd 3.21, 1 Tl 3.56
Ac 0.9996 0.7619 0.2439  2 Pd 3.21, 1 Tl 3.56
Ac 0.8052 0.6184 0.6184  2 Pd 3.53, 1 Tl 3.54, 4 Ac 3.62-3.87
Pd 0.4997 0.3032 0.7028  6 Ac 3.14-3.21
Pd 0.4997 0.7028 0.3032  6 Ac 3.14-3.21
Tl 0.0023 0.0035 0.0035  4 Ac 3.53-3.56

**SG**: Cm, No. 8
**Total magnetic moment**: 0.00 μB/f.u.

---

Looking at energy for the records above, in order, we have -1.9387 -4.4005 eV per atom.